Record 1
# YCuSi GGA-PBE optimized geometry
# Total energy, eV per atom: -5.53
# Total magnetization, Bohr magnetons per cell: 0.0
# Crystal system: orthorhombic
data_YCuSi
_chemical_formula_sum 'Y4 Cu4 Si4'
_cell_length_a 4.541
_cell_length_b 4.560
_cell_length_c 10.440
_cell_angle_alpha 90.00
_cell_angle_beta 90.00
_cell_angle_gamma 90.00
_space_group_name_H-M_alt 'F m m 2'
_space_group_IT_number 42
_space_group_name_Hall 'F 2 -2'
loop_
_atom_site_label
_atom_site_fract_x
_atom_site_fract_y
_atom_site_fract_z
Y1 0.000 0.000 0.000
Cu1 0.000 0.000 0.302
Si1 0.000 0.000 0.696



Record 2
# Y3CuSi2 GGA-PBE optimized geometry
# Total energy, eV per atom: -6.40
# Total magnetization, Bohr magnetons per cell: 0.0
# Crystal system: orthorhombic
data_Y3CuSi2
_chemical_formula_sum 'Y12 Cu4 Si8'
_cell_length_a 11.294
_cell_length_b 4.166
_cell_length_c 11.421
_cell_angle_alpha 90.00
_cell_angle_beta 90.00
_cell_angle_gamma 90.00
_space_group_name_H-M_alt 'P n m a'
_space_group_IT_number 62
loop_
_space_group_symop_operation_xyz
'x,y,z'
'-x,-y,-z'
'-x+1/2,-y,z+1/2'
'x+1/2,y,-z+1/2'
'x+1/2,-y+1/2,-z+1/2'
'-x+1/2,y+1/2,z+1/2'
'-x,y+1/2,-z'
'x,-y+1/2,z'
loop_
_atom_site_label
_atom_site_fract_x
_atom_site_fract_y
_atom_site_fract_z
Y1 0.059 0.250 0.122
Y2 0.122 0.750 0.563
Y3 0.207 0.250 0.804
Cu1 0.132 0.250 0.365
Si1 0.026 0.750 0.316
Si2 0.193 0.750 0.994